Record 1
LaFe2SnI: optimized geometry, PBE.

## Properties
E_form (uncorrected) (meV per atom): 1119

a b c (Å): 5.065 5.065 6.110
angles (deg): 90.00 90.00 90.00
Space group P4/mmm (No. 123)
Asymmetric unit:
La 0.000 0.000 0.000 [1 per cell]
Fe 0.000 0.500 0.000 [2 per cell]
Sn 0.500 0.500 0.500 [1 per cell]
I 0.000 0.000 0.500 [1 per cell]


Record 2
PaCrPN4: optimized geometry, PBE.

## Properties
E_form (uncorrected) (meV per atom): -607

a b c (Å): 6.121 6.169 8.409
angles (deg): 90.00 90.00 90.00
Space group Imma (No. 74)
Asymmetric unit:
Pa 0.250 0.250 0.250 [4 per cell]
Cr 0.000 0.000 0.000 [4 per cell]
P 0.000 0.250 0.635 [4 per cell]
N 0.000 0.032 0.750 [8 per cell]
N 0.231 0.250 0.517 [8 per cell]


Record 3
MoH3Au: optimized geometry, PBE.

## Properties
Raw total energy (hartree per atom): -0.161

a b c (Å): 3.563 3.563 3.563
angles (deg): 90.00 90.00 90.00
Space group Pm-3m (No. 221)
Asymmetric unit:
Mo 0.000 0.000 0.000 [1 per cell]
H 0.000 0.000 0.500 [3 per cell]
Au 0.500 0.500 0.500 [1 per cell]


Number 1: calculated volume 156.7 Å³ per cell, ρ 5.3 g cm⁻³. Number 2: calculated volume 317.6 Å³ per cell, ρ 7.7 g cm⁻³. Number 3: calculated volume 45.2 Å³ per cell, ρ 10.9 g cm⁻³.